Record 1
# Mg6Cd6Sn, relaxed, DFT PBE
# - E_form: -0.004 eV per atom
# - Raw total energy: -1.47 eV/atom
data_Mg6Cd6Sn
_symmetry_space_group_name_H-M 'C m m m'
_symmetry_Int_Tables_number 65
_symmetry_space_group_name_Hall '-C 2 2'
_cell_length_a 5.738
_cell_length_b 10.355
_cell_length_c 10.242
_cell_angle_alpha 90.00
_cell_angle_beta 90.00
_cell_angle_gamma 90.00
loop_
_atom_site_label
_atom_site_fract_x
_atom_site_fract_y
_atom_site_fract_z
_atom_site_occupancy
Mg1 0.000 0.000 0.150 1
Mg2 0.000 0.335 0.500 1
Mg3 0.000 0.339 0.000 1
Cd1 0.000 0.500 0.256 1
Cd2 0.250 0.250 0.249 1
Sn1 0.000 0.000 0.500 1


Record 2
# Mg2Cd2Sn, relaxed, DFT PBE
# - E_form: 0.047 eV per atom
# - Raw total energy: -1.76 eV/atom
data_Mg2Cd2Sn
_symmetry_space_group_name_H-M 'I 4/m m m'
_symmetry_Int_Tables_number 139
_symmetry_space_group_name_Hall '-I 4 2'
_cell_length_a 4.046
_cell_length_b 4.046
_cell_length_c 15.320
_cell_angle_alpha 90.00
_cell_angle_beta 90.00
_cell_angle_gamma 90.00
loop_
_atom_site_label
_atom_site_fract_x
_atom_site_fract_y
_atom_site_fract_z
_atom_site_occupancy
Mg1 0.000 0.000 0.097 1
Cd1 0.000 0.500 0.250 1
Sn1 0.000 0.000 0.500 1


Record 3
# Mg4Cd2Sn, relaxed, DFT PBE
# - E_form: 0.242 eV per atom
# - Raw total energy: -1.50 eV/atom
data_Mg4Cd2Sn
_symmetry_space_group_name_H-M 'I 4/m m m'
_symmetry_Int_Tables_number 139
_symmetry_space_group_name_Hall '-I 4 2'
_cell_length_a 5.547
_cell_length_b 5.547
_cell_length_c 13.973
_cell_angle_alpha 90.00
_cell_angle_beta 90.00
_cell_angle_gamma 90.00
loop_
_atom_site_label
_atom_site_fract_x
_atom_site_fract_y
_atom_site_fract_z
_atom_site_occupancy
Mg1 0.000 0.000 0.201 1
Mg2 0.000 0.500 0.000 1
Cd1 0.000 0.000 0.397 1
Sn1 0.000 0.000 0.000 1


Record 4
# MgCd4Sn, relaxed, DFT PBE
# - E_form: 0.031 eV per atom
# - Raw total energy: -1.51 eV/atom
data_MgCd4Sn
_symmetry_space_group_name_H-M 'F -4 3 m'
_symmetry_Int_Tables_number 216
_symmetry_space_group_name_Hall 'F -4 2 3'
_cell_length_a 8.329
_cell_length_b 8.329
_cell_length_c 8.329
_cell_angle_alpha 90.00
_cell_angle_beta 90.00
_cell_angle_gamma 90.00
loop_
_atom_site_label
_atom_site_fract_x
_atom_site_fract_y
_atom_site_fract_z
_atom_site_occupancy
Mg1 0.000 0.000 0.000 1
Cd1 0.125 0.125 0.375 1
Sn1 0.250 0.250 0.750 1


Record 5
# Mg3Cd2Sn3, relaxed, DFT PBE
# - E_form: -0.074 eV per atom
# - Raw total energy: -2.40 eV/atom
data_Mg3Cd2Sn3
_symmetry_space_group_name_H-M 'I m m m'
_symmetry_Int_Tables_number 71
_symmetry_space_group_name_Hall '-I 2 2'
_cell_length_a 4.301
_cell_length_b 4.650
_cell_length_c 19.049
_cell_angle_alpha 90.00
_cell_angle_beta 90.00
_cell_angle_gamma 90.00
loop_
_atom_site_label
_atom_site_fract_x
_atom_site_fract_y
_atom_site_fract_z
_atom_site_occupancy
Mg1 0.000 0.000 0.000 1
Mg2 0.000 0.500 0.127 1
Cd1 0.000 0.000 0.252 1
Sn1 0.000 0.000 0.500 1
Sn2 0.000 0.500 0.373 1


Record 6
# MgCd3Sn, relaxed, DFT PBE
# - E_form: -0.011 eV per atom
# - Raw total energy: -1.68 eV/atom
data_MgCd3Sn
_symmetry_space_group_name_H-M 'P n m a'
_symmetry_Int_Tables_number 62
_cell_length_a 6.219
_cell_length_b 5.687
_cell_length_c 13.486
_cell_angle_alpha 90.00
_cell_angle_beta 90.00
_cell_angle_gamma 90.00
loop_
_symmetry_equiv_pos_as_xyz
'x,y,z'
'-x,-y,-z'
'-x+1/2,-y,z+1/2'
'x+1/2,y,-z+1/2'
'x+1/2,-y+1/2,-z+1/2'
'-x+1/2,y+1/2,z+1/2'
'-x,y+1/2,-z'
'x,-y+1/2,z'
loop_
_atom_site_label
_atom_site_fract_x
_atom_site_fract_y
_atom_site_fract_z
_atom_site_occupancy
Mg1 0.241 0.250 0.060 1
Cd1 0.003 0.750 0.367 1
Cd2 0.007 0.750 0.750 1
Cd3 0.239 0.250 0.439 1
Sn1 0.004 0.750 0.138 1


Record 7
# MgCd3Sn, relaxed, DFT PBE
# - E_form: 0.013 eV per atom
# - Raw total energy: -1.66 eV/atom
data_MgCd3Sn
_symmetry_space_group_name_H-M 'P 1 21/m 1'
_symmetry_Int_Tables_number 11
_cell_length_a 5.570
_cell_length_b 6.199
_cell_length_c 7.428
_cell_angle_alpha 90.00
_cell_angle_beta 109.10
_cell_angle_gamma 90.00
loop_
_symmetry_equiv_pos_as_xyz
'x,y,z'
'-x,-y,-z'
'-x,y+1/2,-z'
'x,-y+1/2,z'
loop_
_atom_site_label
_atom_site_fract_x
_atom_site_fract_y
_atom_site_fract_z
_atom_site_occupancy
Mg1 0.122 0.250 0.400 1
Cd1 0.287 0.750 0.418 1
Cd2 0.406 0.501 0.783 1
Sn1 0.084 0.250 0.983 1


Record 8
# Mg4Cd5Sn2, relaxed, DFT PBE
# - E_form: -0.049 eV per atom
# - Raw total energy: -1.77 eV/atom
data_Mg4Cd5Sn2
_symmetry_space_group_name_H-M 'P 1 2/m 1'
_symmetry_Int_Tables_number 10
_cell_length_a 7.586
_cell_length_b 3.152
_cell_length_c 10.902
_cell_angle_alpha 90.00
_cell_angle_beta 96.43
_cell_angle_gamma 90.00
loop_
_symmetry_equiv_pos_as_xyz
'x,y,z'
'-x,-y,-z'
'-x,y,-z'
'x,-y,z'
loop_
_atom_site_label
_atom_site_fract_x
_atom_site_fract_y
_atom_site_fract_z
_atom_site_occupancy
Mg1 0.180 0.000 0.391 1
Mg2 0.293 0.000 0.954 1
Cd1 0.176 0.500 0.635 1
Cd2 0.465 0.500 0.205 1
Cd3 0.500 0.500 0.500 1
Sn1 0.055 0.500 0.151 1


Record 9
# MgCd5Sn2, relaxed, DFT PBE
# - E_form: -0.005 eV per atom
# - Raw total energy: -1.78 eV/atom
data_MgCd5Sn2
_symmetry_space_group_name_H-M 'P b a m'
_symmetry_Int_Tables_number 55
_cell_length_a 6.477
_cell_length_b 12.580
_cell_length_c 4.667
_cell_angle_alpha 90.00
_cell_angle_beta 90.00
_cell_angle_gamma 90.00
loop_
_symmetry_equiv_pos_as_xyz
'x,y,z'
'-x,-y,-z'
'-x,-y,z'
'x,y,-z'
'x+1/2,-y+1/2,-z'
'-x+1/2,y+1/2,z'
'-x+1/2,y+1/2,-z'
'x+1/2,-y+1/2,z'
loop_
_atom_site_label
_atom_site_fract_x
_atom_site_fract_y
_atom_site_fract_z
_atom_site_occupancy
Mg1 0.000 0.000 0.000 1
Cd1 0.000 0.500 0.000 1
Cd2 0.001 0.249 0.000 1
Cd3 0.247 0.626 0.500 1
Sn1 0.242 0.877 0.500 1


Record 10
# Mg3Cd5Sn12, relaxed, DFT PBE
# - E_form: 0.135 eV per atom
# - Raw total energy: -2.73 eV/atom
data_Mg3Cd5Sn12
_symmetry_space_group_name_H-M 'I a -3 d'
_symmetry_Int_Tables_number 230
_symmetry_space_group_name_Hall '-I 4bd 2c 3'
_cell_length_a 17.089
_cell_length_b 17.089
_cell_length_c 17.089
_cell_angle_alpha 90.00
_cell_angle_beta 90.00
_cell_angle_gamma 90.00
loop_
_atom_site_label
_atom_site_fract_x
_atom_site_fract_y
_atom_site_fract_z
_atom_site_occupancy
Mg1 0.000 0.250 0.125 1
Cd1 0.000 0.000 0.000 1
Cd2 0.000 0.250 0.375 1
Sn1 0.014 0.081 0.650 1


Record 11
# Mg4CdSn3, relaxed, DFT PBE
# - E_form: -0.090 eV per atom
# - Raw total energy: -2.50 eV/atom
data_Mg4CdSn3
_symmetry_space_group_name_H-M 'P 4/m m m'
_symmetry_Int_Tables_number 123
_symmetry_space_group_name_Hall '-P 4 2'
_cell_length_a 3.764
_cell_length_b 3.764
_cell_length_c 13.324
_cell_angle_alpha 90.00
_cell_angle_beta 90.00
_cell_angle_gamma 90.00
loop_
_atom_site_label
_atom_site_fract_x
_atom_site_fract_y
_atom_site_fract_z
_atom_site_occupancy
Mg1 0.000 0.000 0.120 1
Mg2 0.000 0.000 0.370 1
Cd1 0.500 0.500 0.000 1
Sn1 0.500 0.500 0.245 1
Sn2 0.500 0.500 0.500 1


Record 12
# Mg3CdSn, relaxed, DFT PBE
# - E_form: 0.295 eV per atom
# - Raw total energy: -1.65 eV/atom
data_Mg3CdSn
_symmetry_space_group_name_H-M 'P m -3 m'
_symmetry_Int_Tables_number 221
_symmetry_space_group_name_Hall '-P 4 2 3'
_cell_length_a 5.415
_cell_length_b 5.415
_cell_length_c 5.415
_cell_angle_alpha 90.00
_cell_angle_beta 90.00
_cell_angle_gamma 90.00
loop_
_atom_site_label
_atom_site_fract_x
_atom_site_fract_y
_atom_site_fract_z
_atom_site_occupancy
Mg1 0.000 0.000 0.500 1
Cd1 0.500 0.500 0.500 1
Sn1 0.000 0.000 0.000 1


Record 13
# Mg8CdSn6, relaxed, DFT PBE
# - E_form: -0.017 eV per atom
# - Raw total energy: -2.53 eV/atom
data_Mg8CdSn6
_symmetry_space_group_name_H-M 'R -3'
_symmetry_Int_Tables_number 148
_symmetry_space_group_name_Hall '-R 3'
_cell_length_a 8.3519
_cell_length_b 8.3519
_cell_length_c 19.7645
_cell_angle_alpha 90.00
_cell_angle_beta 90.00
_cell_angle_gamma 120.00
loop_
_atom_site_label
_atom_site_fract_x
_atom_site_fract_y
_atom_site_fract_z
_atom_site_occupancy
Mg1 0.0000 0.0000 0.1669 1
Mg2 0.0013 0.3296 0.6139 1
Cd1 0.0000 0.0000 0.5000 1
Sn1 0.0006 0.3370 0.4306 1


Record 14
# MgCdSn3, relaxed, DFT PBE
# - E_form: 0.019 eV per atom
# - Raw total energy: -2.88 eV/atom
data_MgCdSn3
_symmetry_space_group_name_H-M 'P 1 21/m 1'
_symmetry_Int_Tables_number 11
_cell_length_a 6.126
_cell_length_b 6.362
_cell_length_c 6.810
_cell_angle_alpha 90.00
_cell_angle_beta 96.54
_cell_angle_gamma 90.00
loop_
_symmetry_equiv_pos_as_xyz
'x,y,z'
'-x,-y,-z'
'-x,y+1/2,-z'
'x,-y+1/2,z'
loop_
_atom_site_label
_atom_site_fract_x
_atom_site_fract_y
_atom_site_fract_z
_atom_site_occupancy
Mg1 0.068 0.250 0.209 1
Cd1 0.102 0.750 0.210 1
Sn1 0.283 0.004 0.591 1
Sn2 0.491 0.250 0.009 1


Record 15
# Mg4CdSn5, relaxed, DFT PBE
# - E_form: -0.084 eV per atom
# - Raw total energy: -2.82 eV/atom
data_Mg4CdSn5
_symmetry_space_group_name_H-M 'P 4/m m m'
_symmetry_Int_Tables_number 123
_symmetry_space_group_name_Hall '-P 4 2'
_cell_length_a 3.386
_cell_length_b 3.386
_cell_length_c 21.154
_cell_angle_alpha 90.00
_cell_angle_beta 90.00
_cell_angle_gamma 90.00
loop_
_atom_site_label
_atom_site_fract_x
_atom_site_fract_y
_atom_site_fract_z
_atom_site_occupancy
Mg1 0.000 0.000 0.099 1
Mg2 0.000 0.000 0.297 1
Cd1 0.000 0.000 0.500 1
Sn1 0.500 0.500 0.000 1
Sn2 0.500 0.500 0.198 1
Sn3 0.500 0.500 0.395 1


Record 16
# MgCd14Sn, relaxed, DFT PBE
# - E_form: 0.007 eV per atom
# - Raw total energy: -1.14 eV/atom
data_MgCd14Sn
_symmetry_space_group_name_H-M 'A m m 2'
_symmetry_Int_Tables_number 38
_cell_length_a 10.392
_cell_length_b 6.894
_cell_length_c 10.366
_cell_angle_alpha 90.00
_cell_angle_beta 90.00
_cell_angle_gamma 90.00
loop_
_symmetry_equiv_pos_as_xyz
'x,y,z'
'-x,-y,z'
'-x,y,z'
'x,-y,z'
'x,y+1/2,z+1/2'
'-x,-y+1/2,z+1/2'
'-x,y+1/2,z+1/2'
'x,-y+1/2,z+1/2'
loop_
_atom_site_label
_atom_site_fract_x
_atom_site_fract_y
_atom_site_fract_z
_atom_site_occupancy
Mg1 0.000 0.000 0.000 1
Cd1 0.000 0.231 0.740 1
Cd2 0.250 0.000 0.834 1
Cd3 0.254 0.236 0.090 1
Cd4 0.264 0.000 0.347 1
Cd5 0.500 0.000 0.184 1
Cd6 0.500 0.000 0.673 1
Cd7 0.500 0.236 0.929 1
Sn1 0.000 0.000 0.476 1


Record 17
# MgCdSn2, relaxed, DFT PBE
# - E_form: 0.015 eV per atom
# - Raw total energy: -2.61 eV/atom
data_MgCdSn2
_symmetry_space_group_name_H-M 'F m -3 m'
_symmetry_Int_Tables_number 225
_symmetry_space_group_name_Hall '-F 4 2 3'
_cell_length_a 7.378
_cell_length_b 7.378
_cell_length_c 7.378
_cell_angle_alpha 90.00
_cell_angle_beta 90.00
_cell_angle_gamma 90.00
loop_
_atom_site_label
_atom_site_fract_x
_atom_site_fract_y
_atom_site_fract_z
_atom_site_occupancy
Mg1 0.000 0.000 0.000 1
Cd1 0.000 0.000 0.500 1
Sn1 0.250 0.250 0.250 1


Record 18
# Mg7Cd5Sn, relaxed, DFT PBE
# - E_form: -0.024 eV per atom
# - Raw total energy: -1.54 eV/atom
data_Mg7Cd5Sn
_symmetry_space_group_name_H-M 'I m m 2'
_symmetry_Int_Tables_number 44
_cell_length_a 5.850
_cell_length_b 9.990
_cell_length_c 10.456
_cell_angle_alpha 90.00
_cell_angle_beta 90.00
_cell_angle_gamma 90.00
loop_
_symmetry_equiv_pos_as_xyz
'x,y,z'
'-x,-y,z'
'-x,y,z'
'x,-y,z'
'x+1/2,y+1/2,z+1/2'
'-x+1/2,-y+1/2,z+1/2'
'-x+1/2,y+1/2,z+1/2'
'x+1/2,-y+1/2,z+1/2'
loop_
_atom_site_label
_atom_site_fract_x
_atom_site_fract_y
_atom_site_fract_z
_atom_site_occupancy
Mg1 0.000 0.000 0.000 1
Mg2 0.000 0.000 0.287 1
Mg3 0.000 0.322 0.124 1
Mg4 0.000 0.340 0.628 1
Mg5 0.000 0.500 0.364 1
Cd1 0.000 0.500 0.882 1
Cd2 0.248 0.252 0.381 1
Sn1 0.000 0.000 0.701 1


Record 19
# Mg2Cd2Sn, relaxed, DFT PBE
# - E_form: -0.090 eV per atom
# - Raw total energy: -1.89 eV/atom
data_Mg2Cd2Sn
_symmetry_space_group_name_H-M 'C 1 2/m 1'
_symmetry_Int_Tables_number 12
_cell_length_a 16.475
_cell_length_b 4.389
_cell_length_c 3.212
_cell_angle_alpha 90.00
_cell_angle_beta 101.20
_cell_angle_gamma 90.00
loop_
_symmetry_equiv_pos_as_xyz
'x,y,z'
'-x,-y,-z'
'-x,y,-z'
'x,-y,z'
'x+1/2,y+1/2,z'
'-x+1/2,-y+1/2,-z'
'-x+1/2,y+1/2,-z'
'x+1/2,-y+1/2,z'
loop_
_atom_site_label
_atom_site_fract_x
_atom_site_fract_y
_atom_site_fract_z
_atom_site_occupancy
Mg1 0.102 0.000 0.104 1
Cd1 0.203 0.500 0.707 1
Sn1 0.000 0.500 0.500 1


Number 1: Fermi-level density of states 6.70 states/eV/f.u.. Number 2: Fermi-level density of states 2.29 states/eV/f.u.. Number 3: Fermi-level density of states 3.86 states/eV/f.u.. Number 4: Fermi-level density of states 2.42 states/eV/f.u.. Number 5: Fermi-level density of states 3.55 states/eV/f.u.. Number 6: Fermi-level density of states 1.96 states/eV/f.u.. Number 7: Fermi-level density of states 1.87 states/eV/f.u.. Number 8: Fermi-level density of states 3.73 states/eV/f.u.. Number 9: Fermi-level density of states 3.89 states/eV/f.u.. Number 10: Fermi-level density of states 9.47 states/eV/f.u.. Number 11: Fermi-level density of states 2.69 states/eV/f.u.. Number 12: Fermi-level density of states 3.65 states/eV/f.u.. Number 13: Fermi-level density of states 6.71 states/eV/f.u.. Number 14: Fermi-level density of states 2.00 states/eV/f.u.. Number 15: Fermi-level density of states 4.51 states/eV/f.u.. Number 16: Fermi-level density of states 4.60 states/eV/f.u.. Number 17: Fermi-level density of states 2.69 states/eV/f.u.. Number 18: Fermi-level density of states 4.91 states/eV/f.u.. Number 19: Fermi-level density of states 2.00 states/eV/f.u..